Below is an optimized crystal structure of Ti2GaBr, with properties calculated at the PBE level.

Properties
Formation energy (no corrections): 377 meV/atom
Space-group type: I-42d (122)
Density: 4.16 Mg/m³
Energy above the lowest structure with this stoichiometry: 0.353 eV per atom

Geometry as extended XYZ:
```
8
Lattice="-3.7876 4.1815 -0.5296 -1.3597 -0.5383 5.4747 1.7250 5.9013 3.9413" Properties=species:S:1:pos:R:3 pbc="T T T"
Br 0.0000 0.0000 0.0000
Ga -2.5737 1.8216 2.4726
Ti -2.0352 3.9434 1.3486
Br -2.3181 5.9522 2.9422
Ti -0.6619 5.7821 4.9127
Ti -0.9628 1.7397 4.3310
Ti -3.1848 7.6239 7.1807
Ga -1.1042 3.5923 5.9443
```